An optimized crystal structure of BiMoF2, computed with PBE with a Hubbard U.

Calculated values
magnetization: 2.05 μB per formula unit
crystal system: trigonal
polymorph energy (0 for the lowest one): 0.000 eV per formula unit
DOS at the Fermi energy: 0.33 states/eV/atom

abc: 3.2831 3.2831 29.2853
angles: 90.00 90.00 120.00
Space group R-3m (No. 166, hexagonal axes)
Inequivalent atoms, fractional coordinates:
Bi (0.0000, 0.0000, 0.0000) (multiplicity 3)
Mo (0.0000, 0.0000, 0.5000) (multiplicity 3)
F (0.0000, 0.0000, 0.1262) (multiplicity 6)